(1)
Computed, not measured: an optimized crystal structure of TlBSe3 at the PBE level of DFT.

```
TlBSe3
1.0
7.2796 -0.0031 -0.0115
-3.4087 6.4321 -0.0115
1.4243 2.3655 5.5972
Tl B Se
2 2 6
Direct
0.8905 0.5602 0.5146
0.5602 0.8905 0.0146
0.2703 0.2255 0.4258
0.2255 0.2703 0.9258
0.9735 0.2997 0.1111
0.2997 0.9735 0.6111
0.0574 0.9283 0.9789
0.9283 0.0574 0.4789
0.3665 0.4700 0.5681
0.4700 0.3665 0.0681
```

Calculated values
- Space-group type: No. 9
- Crystal system: monoclinic
- Formation energy without anion corrections: -235 meV/atom
- Energy: -4.13 eV/atom
- ρ: 5.7 Mg/m³

***

(2)
Computed, not measured: an optimized crystal structure of TlBSe3 at the PBE level of DFT.

```
TlBSe3
1.0
4.4868 0.0000 0.0002
0.0001 7.0565 2.2525
-0.0002 -0.3061 7.4010
Tl B Se
2 2 6
Direct
0.2500 0.8559 0.8560
0.7500 0.1440 0.1440
0.0000 0.3717 0.6283
0.5000 0.6283 0.3717
0.2500 0.3914 0.3914
0.7500 0.6085 0.6085
0.2238 0.8426 0.3957
0.7762 0.6043 0.1574
0.7238 0.1574 0.6043
0.2761 0.3957 0.8425
```

Calculated values
- Space-group type: No. 20
- Crystal system: orthorhombic
- Formation energy without anion corrections: -87 meV/atom
- Energy: -3.99 eV/atom
- ρ: 6.3 Mg/m³

***

Which value of formation energy without anion corrections does entry 1 give? -235 meV/atom

***

Which formula does entry 2 have? TlBSe3